1.
Computed, not measured: an optimized crystal structure of LaBeAl2 at the PBE level of DFT.

Unit cell a=5.6421 b=5.6421 c=2.9195 alpha=90.00 beta=90.00 gamma=115.63
Closest atoms and distances in Å follow each position.
Element x y z (fractional)
La 0.0000 0.0000 0.0000  2 La 2.92, 2 Be 3.01, 8 Al 3.18
Be 0.5000 0.5000 0.0000  2 Be 2.92, 2 La 3.01, 8 Al 3.18
Al 0.0000 0.5000 0.5000  4 Al 2.92-3.01, 4 La 3.18, 4 Be 3.18
Al 0.5000 0.0000 0.5000  4 Al 2.92-3.01, 4 La 3.18, 4 Be 3.18

Summary:
Total magnetization: 0.0 μB per cell


2.
Computed, not measured: an optimized crystal structure of LaBeAl2 at the PBE level of DFT.

Unit cell a=4.7837 b=4.7837 c=4.7297 alpha=119.55 beta=119.55 gamma=89.82
Closest atoms and distances in Å follow each position.
Element x y z (fractional)
La 0.0000 0.0000 0.0000  4 Be 2.93-2.94, 4 Al 2.93
Be 0.7411 0.2589 0.5000  4 Al 2.85-3.01, 4 La 2.93-2.94
Al 0.2570 0.7430 0.5000  4 Al 2.90-2.97, 4 La 2.93
Al 0.5049 0.4951 0.0000  4 Be 2.85-3.01, 4 Al 2.90-2.97

Summary:
Total magnetization: 0.0 μB per cell


3.
Computed, not measured: an optimized crystal structure of LaBeAl4 at the PBE level of DFT.

Unit cell a=5.5269 b=5.5269 c=5.5269 alpha=60.00 beta=60.00 gamma=60.00
Closest atoms and distances in Å follow each position.
Element x y z (fractional)
La 0.0000 0.0000 0.0000  12 Al 3.24, 4 Be 3.38
Be 0.2500 0.2500 0.2500  12 Al 3.24, 4 La 3.38
Al 0.1262 0.6246 0.6246  6 Al 2.75-2.77
Al 0.6246 0.1262 0.6246  6 Al 2.75-2.77
Al 0.6246 0.6246 0.1262  6 Al 2.75-2.77
Al 0.6246 0.6246 0.6246  6 Al 2.75-2.77

Summary:
Total magnetization: 0.0 μB per cell


4.
Computed, not measured: an optimized crystal structure of LaBeAl2 at the PBE level of DFT.

Unit cell a=3.3234 b=4.1108 c=6.2136 alpha=90.00 beta=101.69 gamma=90.00
Closest atoms and distances in Å follow each position.
Element x y z (fractional)
La 0.0000 0.0000 0.0000  2 Be 3.21, 8 Al 3.23-3.34, 2 La 3.32
Be 0.5000 0.0000 0.5000  4 Al 2.44
Al 0.3485 0.5000 0.6796  2 Be 2.44, 1 Al 2.63
Al 0.6515 0.5000 0.3204  2 Be 2.44, 1 Al 2.63

Summary:
Total magnetization: 0.0 μB per cell


5.
Computed, not measured: an optimized crystal structure of LaBeAl2 at the PBE level of DFT.

Unit cell a=6.1214 b=6.1214 c=6.1214 alpha=39.53 beta=39.53 gamma=39.53
Closest atoms and distances in Å follow each position.
Element x y z (fractional)
La 0.0000 0.0000 0.0000  7 Al 3.25-3.44, 4 Be 3.32-3.33
Be 0.1969 0.1969 0.1969  6 Al 2.39-2.64
Al 0.5363 0.5363 0.5363  3 Be 2.39
Al 0.7968 0.7968 0.7968  3 Be 2.64, 3 Al 2.69

Summary:
Total magnetization: 0.0 μB per cell


6.
Computed, not measured: an optimized crystal structure of LaBeAl2 at the PBE level of DFT.

Unit cell a=3.1391 b=3.5547 c=7.0225 alpha=90.00 beta=90.00 gamma=90.00
Closest atoms and distances in Å follow each position.
Element x y z (fractional)
La 0.0000 0.0000 0.0000  2 La 3.14, 5 Al 3.23-3.30, 4 Be 3.24
Be 0.5000 0.5000 0.6861  5 Al 2.52-2.58
Al 0.0000 0.0000 0.5400  4 Be 2.58, 4 Al 2.80
Al 0.5000 0.5000 0.3278  1 Be 2.52, 4 Al 2.80

Summary:
Total magnetization: 0.0 μB per cell


no.,ΔE_f (eV/atom)
1,0.319
2,0.012
3,0.130
4,0.007
5,-0.206
6,-0.015